Entry 1:
# Ba2CdHg2 (PBE, optimized geometry)
data_Ba2CdHg2
_chemical_formula_sum 'Ba4 Cd2 Hg4'
_cell_length_a 4.560
_cell_length_b 4.560
_cell_length_c 18.029
_cell_angle_alpha 90.00
_cell_angle_beta 90.00
_cell_angle_gamma 90.00
_space_group_name_H-M_alt 'I 4/m m m'
_space_group_IT_number 139
_space_group_name_Hall '-I 4 2'
loop_
_atom_site_label
_atom_site_type_symbol
_atom_site_fract_x
_atom_site_fract_y
_atom_site_fract_z
_atom_site_occupancy
Ba1 Ba 0.000 0.000 0.106 1
Cd1 Cd 0.000 0.000 0.500 1
Hg1 Hg 0.000 0.500 0.250 1
# uncorrected energy: -13.67 eV/cell



Entry 2:
# BaCd2Hg2 (PBE, optimized geometry)
data_BaCd2Hg2
_chemical_formula_sum 'Ba2 Cd4 Hg4'
_cell_length_a 4.723
_cell_length_b 4.723
_cell_length_c 13.117
_cell_angle_alpha 90.00
_cell_angle_beta 90.00
_cell_angle_gamma 90.00
_space_group_name_H-M_alt 'I 4/m m m'
_space_group_IT_number 139
_space_group_name_Hall '-I 4 2'
loop_
_atom_site_label
_atom_site_type_symbol
_atom_site_fract_x
_atom_site_fract_y
_atom_site_fract_z
_atom_site_occupancy
Ba1 Ba 0.000 0.000 0.000 1
Cd1 Cd 0.000 0.500 0.250 1
Hg1 Hg 0.000 0.000 0.387 1
# uncorrected energy: -12.09 eV/cell



What is the formula in the first record? Ba2CdHg2